# HoV2HgO8, relaxed, DFT PBE+U
# calculated total energy = -6.767 eV per atom
# DOS(E_F) = 10.07 states/eV/f.u.
data_HoV2HgO8
_cell_length_a 7.243
_cell_length_b 7.243
_cell_length_c 6.466
_cell_angle_alpha 90.00
_cell_angle_beta 90.00
_cell_angle_gamma 90.00
_space_group_name_H-M_alt 'I -4 m 2'
_space_group_IT_number 119
_space_group_name_Hall 'I -4 -2'
loop_
_atom_site_label
_atom_site_fract_x
_atom_site_fract_y
_atom_site_fract_z
Ho1 0.000 0.000 0.000
V1 0.000 0.000 0.500
V2 0.000 0.500 0.750
Hg1 0.000 0.500 0.250
O1 0.000 0.181 0.322
O2 0.000 0.305 0.907